--- P ---
DFT (PBE-GGA) results for crystalline TlAg2As2 at its relaxed geometry.

Geometry as extended XYZ:
```
10
Lattice="-4.450 -2.538 -6.743 7.174 -0.829 -4.422 0.235 -2.834 0.912" Properties=species:S:1:pos:R:3 pbc="T T T"
As 0.822 -2.705 -8.617
Ag 3.300 -3.775 -7.690
Tl 1.362 -1.684 -5.582
Ag -1.160 -3.858 -6.801
Ag 4.118 -2.343 -3.452
Tl 0.000 0.000 0.000
As 1.902 -0.662 -2.547
Ag -0.341 -2.426 -2.563
As -1.830 -1.757 -4.989
As 4.554 -1.610 -6.175
```

Results
SG: P4/mbm
Size of the total moment: 0.00 μB per formula unit
DOS at the Fermi energy: 0.340 states/eV/atom

---

--- Q ---
DFT (PBE-GGA) results for crystalline TlAg2As2 at its relaxed geometry.

Geometry as extended XYZ:
```
5
Lattice="-2.212 -2.633 -3.119 -2.663 -1.758 3.373 -6.013 1.729 -0.650" Properties=species:S:1:pos:R:3 pbc="T T T"
Ag -5.557 -1.112 1.424
As -7.638 -1.359 -0.347
As -3.251 -1.303 -0.050
Ag -5.332 -1.550 -1.822
Tl 0.000 0.000 0.000
```

Results
SG: I4/mmm
Size of the total moment: 0.00 μB per formula unit
DOS at the Fermi energy: 0.261 states/eV/atom

---

Ranked by calculated energy, most stable first: Q, P.

---

--- P ---
DFT (PBE-GGA) results for crystalline TlAg2As2 at its relaxed geometry.

Geometry as extended XYZ:
```
10
Lattice="8.466 0.000 0.000 0.000 8.466 0.000 0.000 0.000 2.986" Properties=species:S:1:pos:R:3 pbc="T T T"
Ag 3.014 7.246 0.000
As 7.191 2.958 1.493
As 2.958 1.275 1.493
As 1.275 5.508 1.493
Tl 0.000 0.000 0.000
Ag 5.452 1.219 0.000
Ag 7.246 5.452 0.000
Tl 4.233 4.233 0.000
As 5.508 7.191 1.493
Ag 1.219 3.014 0.000
```

Results
SG: P4/mbm
Size of the total moment: 0.00 μB per formula unit
DOS at the Fermi energy: 0.330 states/eV/atom

---

--- Q ---
DFT (PBE-GGA) results for crystalline TlAg2As2 at its relaxed geometry.

Geometry as extended XYZ:
```
5
Lattice="-2.291 -3.095 -1.353 0.642 -2.004 3.498 -6.245 0.312 3.706" Properties=species:S:1:pos:R:3 pbc="T T T"
Tl 0.000 0.000 0.000
As -3.214 -2.121 4.138
Ag -1.959 -1.951 1.623
As -4.680 -2.666 1.713
Ag -5.936 -2.836 4.228
```

Results
SG: I4/mmm
Size of the total moment: 0.00 μB per formula unit
DOS at the Fermi energy: 0.363 states/eV/atom

---

Ranked by calculated energy, most stable first: P, Q.

---

--- P ---
DFT (PBE-GGA) results for crystalline TlAg3As at its relaxed geometry.

Geometry as extended XYZ:
```
5
Lattice="-3.488 -0.758 -3.577 -0.565 -4.772 1.562 -3.612 1.478 3.209" Properties=species:S:1:pos:R:3 pbc="T T T"
Ag -0.283 -2.386 0.781
Tl -3.833 -2.026 0.598
As 0.000 0.000 0.000
Ag -1.744 -0.379 -1.788
Ag -1.806 0.739 1.605
```

Results
SG: Pm-3m
Size of the total moment: 0.00 μB per formula unit
DOS at the Fermi energy: 0.562 states/eV/atom

---

--- Q ---
DFT (PBE-GGA) results for crystalline TlAg3As at its relaxed geometry.

Geometry as extended XYZ:
```
5
Lattice="-0.153 4.826 2.007 -3.587 -1.558 3.471 3.802 -1.276 3.356" Properties=species:S:1:pos:R:3 pbc="T T T"
Ag -0.076 2.413 1.004
As 0.031 0.996 4.418
Ag -1.794 -0.779 1.736
Ag 1.901 -0.638 1.678
Tl 0.000 0.000 0.000
```

Results
SG: Pm-3m
Size of the total moment: 0.00 μB per formula unit
DOS at the Fermi energy: 0.777 states/eV/atom

---

Ranked by calculated energy, most stable first: P, Q.

---

--- P ---
DFT (PBE-GGA) results for crystalline Tl2Ag2As at its relaxed geometry.

Geometry as extended XYZ:
```
10
Lattice="7.012 0.000 0.000 0.000 7.012 0.000 0.000 0.000 4.998" Properties=species:S:1:pos:R:3 pbc="T T T"
Tl 5.812 2.306 2.499
As 3.506 3.506 0.000
Tl 4.706 5.812 2.499
Ag 4.539 1.033 0.000
As 0.000 0.000 0.000
Ag 5.980 4.539 0.000
Tl 1.200 4.706 2.499
Ag 2.474 5.980 0.000
Tl 2.306 1.200 2.499
Ag 1.033 2.474 0.000
```

Results
SG: P4/mbm
Size of the total moment: 0.00 μB per formula unit
DOS at the Fermi energy: 0.376 states/eV/atom

---

--- Q ---
DFT (PBE-GGA) results for crystalline Tl2Ag2As at its relaxed geometry.

Geometry as extended XYZ:
```
10
Lattice="8.545 0.000 0.000 0.000 8.545 0.000 0.000 0.000 3.231" Properties=species:S:1:pos:R:3 pbc="T T T"
Ag 3.292 0.981 1.615
Tl 2.701 6.973 0.000
Ag 0.981 5.254 1.615
Ag 7.564 3.292 1.615
Tl 6.973 5.845 0.000
Tl 5.845 1.572 0.000
Ag 5.254 7.564 1.615
As 0.000 0.000 0.000
Tl 1.572 2.701 0.000
As 4.273 4.273 0.000
```

Results
SG: P4/mbm
Size of the total moment: 0.00 μB per formula unit
DOS at the Fermi energy: 0.437 states/eV/atom

---

Ranked by calculated energy, most stable first: P, Q.